5
Lattice="2.594 2.361 4.763 -4.946 0.602 3.189 3.734 -3.975 -2.290" Properties=species:S:1:pos:R:3 comment="Na2PtSe2 PBE-GGA relaxed" crystal_system=orthorhombic volume_a3_per_cell=113.6 sg=Immm final_energy_ev_per_atom=-3.94 pbc="T T T"
Na 2.674 -0.190 2.893
Na -1.292 -0.823 2.769
Pt 0.000 0.000 0.000
Se 0.473 1.061 4.621
Se 0.909 -2.073 1.041


7
Lattice="5.915 0.000 0.000 -0.057 6.067 0.000 -2.842 -2.725 5.584" Properties=species:S:1:pos:R:3 comment="AlGaHgTe2S2 PBE-GGA relaxed" crystal_system=triclinic volume_a3_per_cell=200.4 sg=P1 final_energy_ev_per_atom=-3.58 pbc="T T T"
Al 0.219 3.135 2.790
Ga 0.069 0.436 5.544
Hg -0.006 -0.023 0.069
S 1.532 4.384 1.405
S 1.398 1.755 4.166
Te 4.251 1.628 1.657
Te -1.331 -1.135 3.915


20
Lattice="2.553 0.000 0.000 0.000 3.504 0.000 0.000 0.000 35.567" Properties=species:S:1:pos:R:3 comment="ZnCu9 PBE-GGA relaxed" crystal_system=orthorhombic polymorph_energy_mev_per_atom=17.8 formation_energy_kj_per_mol_atoms=5 volume_a3_per_cell=318.2 sg=Pmmn final_energy_ev_per_atom=-3.42 pbc="T T T"
Cu 1.277 1.752 6.698
Cu 0.000 0.000 8.084
Cu 1.277 1.752 9.367
Cu 0.000 0.000 10.692
Cu 1.277 1.752 11.985
Cu 0.000 0.000 13.283
Cu 1.277 1.752 14.571
Cu 0.000 0.000 15.856
Cu 1.277 1.752 17.142
Cu 0.000 0.000 18.425
Cu 1.277 1.752 19.710
Cu 0.000 0.000 20.996
Cu 1.277 1.752 22.284
Cu 0.000 0.000 23.581
Cu 1.277 1.752 24.875
Cu 0.000 0.000 26.199
Cu 1.277 1.752 27.483
Cu 0.000 0.000 28.868
Zn 0.000 0.000 5.377
Zn 1.277 1.752 30.190


8
Lattice="-4.049 3.021 0.367 -0.242 -0.929 4.973 2.422 3.160 0.708" Properties=species:S:1:pos:R:3 comment="HfBPO PBE-GGA relaxed" crystal_system=tetragonal polymorph_energy_mev_per_atom=498.3 volume_a3_per_cell=103.8 sg=P4/nmm final_energy_ev_per_atom=-7.37 pbc="T T T"
B -1.257 2.512 0.408
B 1.534 1.694 2.970
Hf 1.211 1.580 0.354
Hf -0.934 2.626 3.024
O 0.000 0.000 0.000
O -2.145 1.046 2.670
P 0.395 0.209 2.638
P -0.118 3.997 0.741


9
Lattice="-0.262 3.670 -2.268 -6.735 0.870 2.186 5.513 2.658 3.665" Properties=species:S:1:pos:R:3 comment="Dy3MgGa2Ge2Pd PBE-GGA relaxed" crystal_system=orthorhombic volume_a3_per_cell=187.0 sg=Amm2 final_energy_ev_per_atom=-4.66 pbc="T T T"
Dy -3.965 0.522 1.303
Dy -0.497 1.436 2.382
Dy 3.239 1.574 2.174
Ga -2.746 3.298 1.536
Ga 1.268 3.884 2.021
Ge -5.413 3.343 1.917
Ge 3.648 4.666 3.012
Mg -1.072 4.552 3.372
Pd -0.004 0.011 0.018


24
Lattice="-4.486 -4.821 8.856 3.229 -2.727 0.151 7.222 9.024 8.571" Properties=species:S:1:pos:R:3 comment="LuCuSnTe3 PBE-GGA relaxed" crystal_system=orthorhombic polymorph_energy_mev_per_atom=0.0 volume_a3_per_cell=671.5 sg=Pnma final_energy_ev_per_atom=-4.24 pbc="T T T"
Cu 2.928 -1.222 4.156
Cu 1.105 -3.108 9.082
Cu 4.859 4.583 8.495
Cu 3.036 2.697 13.422
Lu 0.416 -0.796 6.343
Lu -1.718 -3.070 10.901
Lu 7.682 4.545 6.677
Lu 5.548 2.271 11.234
Sn -0.095 -1.637 2.077
Sn 1.109 0.260 10.596
Sn 4.855 1.215 6.982
Sn 6.059 3.112 15.501
Te 1.270 -3.156 4.679
Te 3.035 -1.245 1.461
Te -1.289 -2.726 7.941
Te 2.182 1.219 4.971
Te 2.784 -1.166 8.253
Te 1.187 -2.868 11.671
Te 4.777 4.343 5.907
Te 3.180 2.642 9.324
Te 3.782 0.256 12.607
Te 7.253 4.202 9.636
Te 2.929 2.720 16.117
Te 4.694 4.631 12.899